[1]
{
  "formula": "NdSm4Bi5",
  "functional": "PBE-GGA",
  "state": "optimized geometry",
  "crystal_system": "tetragonal",
  "e_tot_ev_per_cell": -53.3,
  "density_g_cm3": 8.92,
  "cell": [[-2.2754, 2.2754, 16.0902], [2.2754, -2.2754, 16.0902], [2.2754, 2.2754, -16.0902]],
  "species": ["Bi", "Nd", "Bi", "Sm", "Bi", "Sm", "Bi", "Sm", "Bi", "Sm"],
  "frac_coords": [[0.3000, 0.3000, 0.0000], [0.0000, 0.0000, 0.0000], [0.7000, 0.7000, 0.0000], [0.3998, 0.3998, 0.0000], [0.8993, 0.8993, 0.0000], [0.7997, 0.7997, 0.0000], [0.5000, 0.5000, 0.0000], [0.2003, 0.2003, 0.0000], [0.1007, 0.1007, 0.0000], [0.6002, 0.6002, 0.0000]]
}

=====

[2]
{
  "formula": "NdSmBi2Te2",
  "functional": "PBE-GGA",
  "state": "optimized geometry",
  "crystal_system": "tetragonal",
  "e_tot_ev_per_cell": -30.3,
  "density_g_cm3": 8.53,
  "cell": [[-1.4083, -2.8914, 3.0659], [2.6240, -3.1311, -1.7475], [7.0783, 2.6974, 5.7953]],
  "species": ["Nd", "Bi", "Sm", "Bi", "Te", "Te"],
  "frac_coords": [[0.0000, 0.0000, 0.2838], [0.5000, 0.0000, 0.9998], [0.5000, 0.5000, 0.7160], [0.0000, 0.5000, 0.9998], [0.0000, 0.0000, 0.6268], [0.5000, 0.5000, 0.3738]]
}

=====

[3]
{
  "formula": "NdSnBi",
  "functional": "PBE-GGA",
  "state": "optimized geometry",
  "relative_energy_kcal_per_mol_atoms": 0.749,
  "crystal_system": "cubic",
  "density_g_cm3": 7.35,
  "cell": [[4.9018, -1.6400, 1.2688], [0.7368, -3.1850, 4.2000], [1.3752, -5.0897, -0.7286]],
  "species": ["Nd", "Sn", "Bi"],
  "frac_coords": [[0.0000, 0.0000, 0.0000], [0.7500, 0.7500, 0.7500], [0.2500, 0.2500, 0.2500]]
}

=====

[4]
{
  "formula": "NdSnBi",
  "functional": "PBE-GGA",
  "state": "optimized geometry",
  "relative_energy_kcal_per_mol_atoms": 0.000,
  "crystal_system": "cubic",
  "density_g_cm3": 7.45,
  "cell": [[0.0000, 3.7461, 3.7461], [3.7461, 0.0000, 3.7461], [3.7461, 3.7461, 0.0000]],
  "species": ["Nd", "Bi", "Sn"],
  "frac_coords": [[0.7500, 0.7500, 0.7500], [0.2500, 0.2500, 0.2500], [0.0000, 0.0000, 0.0000]]
}